Here is an optimized crystal structure of UMnTl2S4 from Alexandria via LeMat-Bulk. Energies are from GGA-PBE.

Calculated values
total moment = 14.03 μB/cell
DFT total energy = -5.94 eV/atom
energy relative to the elements, uncorrected = -0.724 eV per atom

a b c (Å): 8.243 8.243 8.243
angles (deg): 120.35 119.68 89.97
Element x y z (fractional)
1 U 0.000 0.000 0.000
2 U 0.500 0.000 0.500
3 Mn 0.500 0.000 0.000
4 Mn 0.500 0.500 0.500
5 Tl 0.000 0.000 0.500
6 Tl 0.000 0.500 0.000
7 Tl 0.000 0.500 0.500
8 Tl 0.500 0.500 0.000
9 S 0.268 0.233 0.466
10 S 0.268 0.802 0.034
11 S 0.277 0.231 0.046
12 S 0.315 0.769 0.546
13 S 0.685 0.231 0.454
14 S 0.723 0.769 0.954
15 S 0.732 0.198 0.966
16 S 0.732 0.767 0.534

=====

Here is an optimized crystal structure of UMnTl2S6 from Alexandria via LeMat-Bulk. Energies are from GGA-PBE.

Calculated values
total moment = 3.18 μB/cell
DFT total energy = -5.59 eV/atom
energy relative to the elements, uncorrected = -0.594 eV per atom

a b c (Å): 6.809 6.809 6.809
angles (deg): 61.16 61.16 61.16
Element x y z (fractional)
1 U 0.000 0.000 0.000
2 Mn 0.500 0.500 0.500
3 Tl 0.248 0.248 0.248
4 Tl 0.752 0.752 0.752
5 S 0.212 0.735 0.310
6 S 0.265 0.690 0.788
7 S 0.310 0.212 0.735
8 S 0.690 0.788 0.265
9 S 0.735 0.310 0.212
10 S 0.788 0.265 0.690

=====

Here is an optimized crystal structure of MnTlVS3 from Alexandria via LeMat-Bulk. Energies are from GGA-PBE.

Calculated values
total moment = 2.22 μB/cell
DFT total energy = -6.10 eV/atom
energy relative to the elements, uncorrected = -0.594 eV per atom

a b c (Å): 8.102 3.343 9.301
angles (deg): 90.00 112.73 90.00
Element x y z (fractional)
1 Mn 0.028 0.250 0.339
2 Mn 0.972 0.750 0.661
3 Tl 0.495 0.750 0.770
4 Tl 0.505 0.250 0.230
5 V 0.034 0.750 0.115
6 V 0.966 0.250 0.885
7 S 0.144 0.250 0.612
8 S 0.178 0.750 0.932
9 S 0.240 0.750 0.361
10 S 0.760 0.250 0.639
11 S 0.822 0.250 0.068
12 S 0.856 0.750 0.388

=====

Here is an optimized crystal structure of MnTl2VS4 from Alexandria via LeMat-Bulk. Energies are from GGA-PBE.

Calculated values
total moment = 12.02 μB/cell
DFT total energy = -5.49 eV/atom
energy relative to the elements, uncorrected = -0.550 eV per atom

a b c (Å): 6.860 6.860 9.061
angles (deg): 90.00 90.00 90.00
Element x y z (fractional)
1 Mn 0.000 0.000 0.000
2 Mn 0.500 0.500 0.500
3 Tl 0.000 0.000 0.500
4 Tl 0.000 0.500 0.750
5 Tl 0.500 0.000 0.250
6 Tl 0.500 0.500 0.000
7 V 0.000 0.500 0.250
8 V 0.500 0.000 0.750
9 S 0.147 0.739 0.123
10 S 0.239 0.353 0.377
11 S 0.261 0.147 0.877
12 S 0.353 0.761 0.623
13 S 0.647 0.239 0.623
14 S 0.739 0.853 0.877
15 S 0.761 0.647 0.377
16 S 0.853 0.261 0.123

=====

Here is an optimized crystal structure of YMnTl2S4 from Alexandria via LeMat-Bulk. Energies are from GGA-PBE.

Calculated values
total moment = 8.40 μB/cell
DFT total energy = -5.47 eV/atom
energy relative to the elements, uncorrected = -0.862 eV per atom

a b c (Å): 8.125 8.125 8.125
angles (deg): 120.38 119.47 90.13
Element x y z (fractional)
1 Y 0.000 0.000 0.000
2 Y 0.500 0.000 0.500
3 Mn 0.500 0.000 0.000
4 Mn 0.500 0.500 0.500
5 Tl 0.000 0.000 0.500
6 Tl 0.000 0.500 0.000
7 Tl 0.000 0.500 0.500
8 Tl 0.500 0.500 0.000
9 S 0.274 0.249 0.474
10 S 0.274 0.800 0.026
11 S 0.285 0.239 0.046
12 S 0.307 0.761 0.546
13 S 0.693 0.239 0.454
14 S 0.715 0.761 0.954
15 S 0.726 0.200 0.974
16 S 0.726 0.751 0.526

=====

Here is an optimized crystal structure of Y3MnTl3S8 from Alexandria via LeMat-Bulk. Energies are from GGA-PBE.

Calculated values
total moment = 3.01 μB/cell
DFT total energy = -5.81 eV/atom
energy relative to the elements, uncorrected = -1.233 eV per atom

a b c (Å): 8.847 8.847 8.847
angles (deg): 52.32 52.32 52.32
Element x y z (fractional)
1 Y 0.000 0.500 0.500
2 Y 0.500 0.000 0.500
3 Y 0.500 0.500 0.000
4 Mn 0.000 0.000 0.000
5 Tl 0.000 0.000 0.500
6 Tl 0.000 0.500 0.000
7 Tl 0.500 0.000 0.000
8 S 0.209 0.209 0.764
9 S 0.209 0.764 0.209
10 S 0.236 0.791 0.791
11 S 0.267 0.267 0.267
12 S 0.733 0.733 0.733
13 S 0.764 0.209 0.209
14 S 0.791 0.236 0.791
15 S 0.791 0.791 0.236

=====

Here is an optimized crystal structure of ZrMnTlS4 from Alexandria via LeMat-Bulk. Energies are from GGA-PBE.

Calculated values
total moment = 8.00 μB/cell
DFT total energy = -6.07 eV/atom
energy relative to the elements, uncorrected = -0.842 eV per atom

a b c (Å): 6.290 6.258 8.935
angles (deg): 90.00 110.33 90.00
Element x y z (fractional)
1 Zr 0.229 0.250 0.054
2 Zr 0.771 0.750 0.946
3 Mn 0.231 0.750 0.835
4 Mn 0.769 0.250 0.165
5 Tl 0.280 0.250 0.555
6 Tl 0.720 0.750 0.445
7 S 0.026 0.509 0.191
8 S 0.026 0.991 0.191
9 S 0.440 0.750 0.675
10 S 0.473 0.750 0.086
11 S 0.527 0.250 0.914
12 S 0.560 0.250 0.325
13 S 0.974 0.009 0.809
14 S 0.974 0.491 0.809

=====

Here is an optimized crystal structure of TmMnS2 from Alexandria via LeMat-Bulk. Energies are from GGA-PBE.

Calculated values
total moment = 13.00 μB/cell
DFT total energy = -6.13 eV/atom
energy relative to the elements, uncorrected = -0.655 eV per atom

a b c (Å): 3.655 3.655 23.541
angles (deg): 90.00 90.00 120.00
Element x y z (fractional)
1 Tm 0.000 0.000 0.000
2 Tm 0.333 0.667 0.667
3 Tm 0.667 0.333 0.333
4 Mn 0.000 0.000 0.500
5 Mn 0.333 0.667 0.167
6 Mn 0.667 0.333 0.833
7 S 0.000 0.000 0.111
8 S 0.000 0.000 0.889
9 S 0.333 0.667 0.556
10 S 0.333 0.667 0.777
11 S 0.667 0.333 0.223
12 S 0.667 0.333 0.444